# 1
Material: Pm2HfTl2Se6
Method: DFT, PBE-GGA
State: optimized geometry

Lattice parameters (Å, degrees): 7.1998 12.3658 8.1868 90.00 107.58 90.00
Space group C2/m (No. 12)
Inequivalent atoms, fractional coordinates:
Pm (0.0000, 0.1674, 0.0000) (multiplicity 4)
Hf (0.0000, 0.5000, 0.0000) (multiplicity 2)
Tl (0.0000, 0.3292, 0.5000) (multiplicity 4)
Se (0.2251, 0.3460, 0.2022) (multiplicity 8)
Se (0.2363, 0.5000, 0.7966) (multiplicity 4)

The calculation puts the formation energy without anion corrections at -1359 meV per atom. The energy comes out at -5.46 eV per atom. Its total magnetic moment is 0.000 μB/atom.

---

# 2
Material: Rb2IrBr7
Method: DFT, PBE-GGA
State: optimized geometry

Lattice parameters (Å, degrees): 7.8284 7.8284 11.7352 90.00 90.00 90.00
Space group I4/mmm (No. 139)
Inequivalent atoms, fractional coordinates:
Rb (0.0000, 0.5000, 0.2500) (multiplicity 4)
Ir (0.0000, 0.0000, 0.0000) (multiplicity 2)
Br (0.0000, 0.0000, 0.2122) (multiplicity 4)
Br (0.0000, 0.0000, 0.5000) (multiplicity 2)
Br (0.2275, 0.2275, 0.0000) (multiplicity 8)

The calculation puts the formation energy without anion corrections at -726 meV per atom. The energy comes out at -2.98 eV per atom. Its total magnetic moment is 0.122 μB/atom.

---

# 3
Material: BaCa2Os
Method: DFT, PBE-GGA
State: optimized geometry

Lattice parameters (Å, degrees): 6.5520 10.8963 3.5516 90.00 114.25 90.00
Space group C2/m (No. 12)
Inequivalent atoms, fractional coordinates:
Ba (0.0000, 0.0000, 0.0000) (multiplicity 2)
Ca (0.2500, 0.2500, 0.5000) (multiplicity 4)
Os (0.0000, 0.5000, 0.0000) (multiplicity 2)

As for the energy above the most stable polymorph in this dataset: 460 meV/atom. The energy comes out at -3.43 eV per atom. As for the formation enthalpy at 0 K: 858 meV/atom. Its total magnetic moment is 0.099 μB/atom.

---

# 4
Material: Pr3Ag4Sn4
Method: DFT, PBE-GGA
State: optimized geometry

Lattice parameters (Å, degrees): 3.5897 8.9834 18.6480 90.00 90.00 90.00
Space group Immm (No. 71)
Inequivalent atoms, fractional coordinates:
Pr (0.0000, 0.0000, 0.0000) (multiplicity 2)
Pr (0.0000, 0.5000, 0.1684) (multiplicity 4)
Ag (0.0000, 0.2840, 0.3844) (multiplicity 8)
Sn (0.0000, 0.0000, 0.1833) (multiplicity 4)
Sn (0.0000, 0.3439, 0.0000) (multiplicity 4)

As for the energy above the most stable polymorph in this dataset: 401 meV/atom. The energy comes out at -3.95 eV per atom. As for the formation enthalpy at 0 K: -154 meV/atom. Its total magnetic moment is 0.000 μB/atom.

---

# 5
Material: Co2CuSi
Method: DFT, PBE-GGA
State: optimized geometry

Lattice parameters (Å, degrees): 2.6018 3.4658 5.0056 90.00 90.00 90.00
Space group Pmm2 (No. 25)
Inequivalent atoms, fractional coordinates:
Co (0.0000, 0.0000, 0.0000) (multiplicity 1)
Co (0.5000, 0.5000, 0.2447) (multiplicity 1)
Cu (0.0000, 0.0000, 0.4984) (multiplicity 1)
Si (0.5000, 0.5000, 0.7639) (multiplicity 1)

The calculation puts the formation energy without anion corrections at -58 meV per atom. The energy comes out at -5.99 eV per atom. Its total magnetic moment is 0.603 μB/atom.

---

# 6
Material: ErPuHgBi
Method: DFT, PBE-GGA
State: optimized geometry

Lattice parameters (Å, degrees): 7.6027 7.6027 7.6027 90.00 90.00 90.00
Space group F-43m (No. 216)
Inequivalent atoms, fractional coordinates:
Er (0.0000, 0.0000, 0.0000) (multiplicity 4)
Pu (0.0000, 0.0000, 0.5000) (multiplicity 4)
Hg (0.2500, 0.2500, 0.7500) (multiplicity 4)
Bi (0.2500, 0.2500, 0.2500) (multiplicity 4)

The energy comes out at -6.11 eV per atom. As for the formation enthalpy at 0 K: -341 meV/atom. Its total magnetic moment is 1.721 μB/atom.

---

# 7
Material: AcSm2UP4
Method: DFT, PBE-GGA
State: optimized geometry

Lattice parameters (Å, degrees): 5.8774 5.8774 11.7551 90.00 90.00 90.00
Space group I-4m2 (No. 119)
Inequivalent atoms, fractional coordinates:
Ac (0.0000, 0.0000, 0.0000) (multiplicity 2)
Sm (0.0000, 0.0000, 0.5000) (multiplicity 2)
Sm (0.0000, 0.5000, 0.2500) (multiplicity 2)
U (0.0000, 0.5000, 0.7500) (multiplicity 2)
P (0.0000, 0.0000, 0.2570) (multiplicity 4)
P (0.0000, 0.5000, 0.5120) (multiplicity 4)

The energy comes out at -7.12 eV per atom. As for the formation enthalpy at 0 K: -1312 meV/atom. Its total magnetic moment is 0.300 μB/atom.

---

# 8
Material: LaCdTc2
Method: DFT, PBE-GGA
State: optimized geometry

Lattice parameters (Å, degrees): 3.1393 3.1393 8.2546 90.00 90.00 90.00
Space group P4mm (No. 99)
Inequivalent atoms, fractional coordinates:
La (0.0000, 0.0000, 0.0000) (multiplicity 1)
Cd (0.5000, 0.5000, 0.3243) (multiplicity 1)
Tc (0.0000, 0.0000, 0.5646) (multiplicity 1)
Tc (0.5000, 0.5000, 0.7217) (multiplicity 1)

The energy comes out at -6.57 eV per atom. As for the formation enthalpy at 0 K: 69 meV/atom. Its total magnetic moment is 0.000 μB/atom.

---

# 9
Material: ScGa2Se4
Method: DFT, PBE-GGA
State: optimized geometry

Lattice parameters (Å, degrees): 5.6463 5.6463 6.0722 90.00 90.00 90.00
Space group P-42m (No. 111)
Inequivalent atoms, fractional coordinates:
Sc (0.0000, 0.0000, 0.0000) (multiplicity 1)
Ga (0.0000, 0.5000, 0.5000) (multiplicity 2)
Se (0.2657, 0.2657, 0.2498) (multiplicity 4)

The calculation puts the formation energy without anion corrections at -792 meV per atom. The energy comes out at -4.55 eV per atom. Its total magnetic moment is 0.000 μB/atom.

---

# 10
Material: Ac2EuZn
Method: DFT, PBE-GGA
State: optimized geometry

Lattice parameters (Å, degrees): 5.8063 5.8063 4.1775 90.00 90.00 90.00
Space group P4/mmm (No. 123)
Inequivalent atoms, fractional coordinates:
Ac (0.0000, 0.5000, 0.0000) (multiplicity 2)
Eu (0.0000, 0.0000, 0.5000) (multiplicity 1)
Zn (0.5000, 0.5000, 0.5000) (multiplicity 1)

As for the energy above the most stable polymorph in this dataset: 117 meV/atom. The energy comes out at -4.94 eV per atom. As for the formation enthalpy at 0 K: 6 meV/atom. Its total magnetic moment is 1.844 μB/atom.

---

# 11
Material: CeUSb6
Method: DFT, PBE-GGA
State: optimized geometry

Lattice parameters (Å, degrees): 4.3729 4.3705 23.6519 90.00 90.00 90.00
Space group Amm2 (No. 38)
Inequivalent atoms, fractional coordinates:
Ce (0.0000, 0.0000, 0.0000) (multiplicity 2)
U (0.5000, 0.0000, 0.3453) (multiplicity 2)
Sb (0.0000, 0.0000, 0.2411) (multiplicity 2)
Sb (0.0000, 0.0000, 0.5985) (multiplicity 2)
Sb (0.0000, 0.0000, 0.8649) (multiplicity 2)
Sb (0.5000, 0.0000, 0.1171) (multiplicity 2)
Sb (0.5000, 0.0000, 0.4756) (multiplicity 2)
Sb (0.5000, 0.0000, 0.7457) (multiplicity 2)

The calculation puts the formation energy without anion corrections at -277 meV per atom. The energy comes out at -5.52 eV per atom. Its total magnetic moment is 0.192 μB/atom.

---

# 12
Material: Pr6Sm3Dy2
Method: DFT, PBE-GGA
State: optimized geometry

Lattice parameters (Å, degrees): 3.6610 3.6610 98.4185 90.00 90.00 120.00
Space group R-3m (No. 166, hexagonal axes)
Inequivalent atoms, fractional coordinates:
Pr (0.0000, 0.0000, 0.0914) (multiplicity 6)
Pr (0.0000, 0.0000, 0.1823) (multiplicity 6)
Pr (0.0000, 0.0000, 0.3638) (multiplicity 6)
Sm (0.0000, 0.0000, 0.0000) (multiplicity 3)
Sm (0.0000, 0.0000, 0.2725) (multiplicity 6)
Dy (0.0000, 0.0000, 0.4545) (multiplicity 6)

As for the energy above the most stable polymorph in this dataset: 0 meV/atom. The energy comes out at -4.72 eV per atom. As for the formation enthalpy at 0 K: 13 meV/atom. Its total magnetic moment is 0.000 μB/atom.